This record from the Alexandria database describes a geometry-optimized Cd3IrRu structure. The functional is PBEsol.

```
data_Cd3IrRu
_chemical_formula_sum 'Cd3 Ir1 Ru1'
_cell_length_a 4.920
_cell_length_b 4.920
_cell_length_c 4.920
_cell_angle_alpha 90.00
_cell_angle_beta 90.00
_cell_angle_gamma 90.00
_symmetry_space_group_name_H-M 'P m -3 m'
_symmetry_Int_Tables_number 221
_symmetry_space_group_name_Hall '-P 4 2 3'
loop_
_atom_site_label
_atom_site_type_symbol
_atom_site_fract_x
_atom_site_fract_y
_atom_site_fract_z
Cd1 Cd 0.000 0.000 0.500
Ir1 Ir 0.500 0.500 0.500
Ru1 Ru 0.000 0.000 0.000
```

Output
ΔE_f	161.0	kJ/mol of atoms
mass density	8.8	Mg/m³
Fermi-level density of states	6.76	states/eV/cell



This record from the Alexandria database describes a geometry-optimized RhPbN2 structure. The functional is PBEsol.

```
data_RhPbN2
_chemical_formula_sum 'Rh3 Pb3 N6'
_cell_length_a 3.3531
_cell_length_b 3.3531
_cell_length_c 18.8590
_cell_angle_alpha 90.00
_cell_angle_beta 90.00
_cell_angle_gamma 120.00
_symmetry_space_group_name_H-M 'R -3 m'
_symmetry_Int_Tables_number 166
_symmetry_space_group_name_Hall '-R 3 2"'
loop_
_atom_site_label
_atom_site_type_symbol
_atom_site_fract_x
_atom_site_fract_y
_atom_site_fract_z
Rh1 Rh 0.0000 0.0000 0.0000
Pb1 Pb 0.0000 0.0000 0.5000
N1 N 0.0000 0.0000 0.0973
```

Output
formation energy without anion corrections	357	kJ/mol of formula units
mass density	9.2	Mg/m³
Fermi-level density of states	5.52	states/eV/cell



This record from the Alexandria database describes a geometry-optimized AgHg2Pd structure. The functional is PBEsol.

```
data_AgHg2Pd
_chemical_formula_sum 'Ag4 Hg8 Pd4'
_cell_length_a 6.567
_cell_length_b 6.567
_cell_length_c 6.567
_cell_angle_alpha 90.00
_cell_angle_beta 90.00
_cell_angle_gamma 90.00
_symmetry_space_group_name_H-M 'F m -3 m'
_symmetry_Int_Tables_number 225
_symmetry_space_group_name_Hall '-F 4 2 3'
loop_
_atom_site_label
_atom_site_type_symbol
_atom_site_fract_x
_atom_site_fract_y
_atom_site_fract_z
Ag1 Ag 0.000 0.000 0.000
Hg1 Hg 0.250 0.250 0.250
Pd1 Pd 0.000 0.000 0.500
```

Output
ΔE_f	-8.0	kJ/mol of atoms
mass density	14.4	Mg/m³
Fermi-level density of states	4.42	states/eV/cell



This record from the Alexandria database describes a geometry-optimized TeAuC2 structure. The functional is PBEsol.

```
data_TeAuC2
_chemical_formula_sum 'Te4 Au4 C8'
_cell_length_a 5.028
_cell_length_b 5.028
_cell_length_c 9.943
_cell_angle_alpha 90.00
_cell_angle_beta 90.00
_cell_angle_gamma 90.00
_symmetry_space_group_name_H-M 'I -4 2 d'
_symmetry_Int_Tables_number 122
_symmetry_space_group_name_Hall 'I -4 2bw'
loop_
_atom_site_label
_atom_site_type_symbol
_atom_site_fract_x
_atom_site_fract_y
_atom_site_fract_z
Te1 Te 0.000 0.000 0.000
Au1 Au 0.000 0.000 0.500
C1 C 0.244 0.250 0.625
```

Output
formation energy without anion corrections	636	kJ/mol of formula units
mass density	9.2	Mg/m³
Fermi-level density of states	6.76	states/eV/cell



This record from the Alexandria database describes a geometry-optimized CaCdRu2 structure. The functional is PBEsol.

```
data_CaCdRu2
_chemical_formula_sum 'Ca2 Cd2 Ru4'
_cell_length_a 9.484
_cell_length_b 2.897
_cell_length_c 5.305
_cell_angle_alpha 90.00
_cell_angle_beta 100.08
_cell_angle_gamma 90.00
_symmetry_space_group_name_H-M 'C 1 2/m 1'
_symmetry_Int_Tables_number 12
loop_
_symmetry_equiv_pos_as_xyz
'x,y,z'
'-x,-y,-z'
'-x,y,-z'
'x,-y,z'
'x+1/2,y+1/2,z'
'-x+1/2,-y+1/2,-z'
'-x+1/2,y+1/2,-z'
'x+1/2,-y+1/2,z'
loop_
_atom_site_label
_atom_site_type_symbol
_atom_site_fract_x
_atom_site_fract_y
_atom_site_fract_z
Ca1 Ca 0.000 0.000 0.000
Cd1 Cd 0.000 0.500 0.500
Ru1 Ru 0.241 0.000 0.695
```

Output
ΔE_f	47.0	kJ/mol of atoms
mass density	8.2	Mg/m³
Fermi-level density of states	11.71	states/eV/cell



This record from the Alexandria database describes a geometry-optimized RbLaSiC4N8 structure. The functional is PBEsol.

```
data_RbLaSiC4N8
_chemical_formula_sum 'Rb2 La2 Si2 C8 N16'
_cell_length_a 8.536
_cell_length_b 8.536
_cell_length_c 6.812
_cell_angle_alpha 90.00
_cell_angle_beta 90.00
_cell_angle_gamma 90.00
_symmetry_space_group_name_H-M 'I -4'
_symmetry_Int_Tables_number 82
loop_
_symmetry_equiv_pos_as_xyz
'x,y,z'
'y,-x,-z'
'-x,-y,z'
'-y,x,-z'
'x+1/2,y+1/2,z+1/2'
'y+1/2,-x+1/2,-z+1/2'
'-x+1/2,-y+1/2,z+1/2'
'-y+1/2,x+1/2,-z+1/2'
loop_
_atom_site_label
_atom_site_type_symbol
_atom_site_fract_x
_atom_site_fract_y
_atom_site_fract_z
Rb1 Rb 0.000 0.000 0.000
La1 La 0.000 0.500 0.750
Si1 Si 0.000 0.500 0.250
C1 C 0.191 0.724 0.369
N1 N 0.097 0.380 0.088
N2 N 0.159 0.261 0.667
```

Output
formation energy without anion corrections	-829	kJ/mol of formula units
mass density	2.8	Mg/m³
Fermi-level density of states	0.00	states/eV/cell



This record from the Alexandria database describes a geometry-optimized AlInIr2 structure. The functional is PBEsol.

```
data_AlInIr2
_chemical_formula_sum 'Al2 In2 Ir4'
_cell_length_a 3.010
_cell_length_b 4.312
_cell_length_c 9.561
_cell_angle_alpha 90.00
_cell_angle_beta 90.00
_cell_angle_gamma 90.00
_symmetry_space_group_name_H-M 'I m m 2'
_symmetry_Int_Tables_number 44
loop_
_symmetry_equiv_pos_as_xyz
'x,y,z'
'-x,-y,z'
'-x,y,z'
'x,-y,z'
'x+1/2,y+1/2,z+1/2'
'-x+1/2,-y+1/2,z+1/2'
'-x+1/2,y+1/2,z+1/2'
'x+1/2,-y+1/2,z+1/2'
loop_
_atom_site_label
_atom_site_type_symbol
_atom_site_fract_x
_atom_site_fract_y
_atom_site_fract_z
Al1 Al 0.000 0.000 0.000
In1 In 0.000 0.500 0.765
Ir1 Ir 0.000 0.000 0.527
Ir2 Ir 0.000 0.500 0.290
```

Output
ΔE_f	-18.3	kJ/mol of atoms
mass density	14.1	Mg/m³
Fermi-level density of states	4.69	states/eV/cell



This record from the Alexandria database describes a geometry-optimized CoCuTc2 structure. The functional is PBEsol.

```
data_CoCuTc2
_chemical_formula_sum 'Co1 Cu1 Tc2'
_cell_length_a 4.400
_cell_length_b 4.400
_cell_length_c 2.568
_cell_angle_alpha 90.00
_cell_angle_beta 90.00
_cell_angle_gamma 90.00
_symmetry_space_group_name_H-M 'P 4/m m m'
_symmetry_Int_Tables_number 123
_symmetry_space_group_name_Hall '-P 4 2'
loop_
_atom_site_label
_atom_site_type_symbol
_atom_site_fract_x
_atom_site_fract_y
_atom_site_fract_z
Co1 Co 0.000 0.000 0.000
Cu1 Cu 0.500 0.500 0.000
Tc1 Tc 0.000 0.500 0.500
```

Output
polymorph energy (0 for the lowest one)	114	meV/atom
ΔE_f	31.5	kJ/mol of atoms
mass density	10.6	Mg/m³
Fermi-level density of states	3.82	states/eV/cell